Below is an optimized crystal structure of PmMg2Zn2, with properties calculated at the PBE-GGA level.

Values from the calculation:
The space group is I4/mmm, No. 139. The formation energy is -0.75 eV per formula unit. The calculation puts the energy relative to the lowest polymorph listed for this composition at 59 meV per atom. For the raw total energy, the calculation gives -2.248 eV/atom.

a = 4.3423 Å, b = 4.3423 Å, c = 12.1848 Å
α = 100.26°, β = 100.26°, γ = 90.00°
Positions (direct):
1 Pm 0.6241 0.6241 0.2481
2 Pm 0.3759 0.3759 0.7519
3 Mg 0.0000 0.5000 0.0000
4 Mg 0.1840 0.1840 0.3680
5 Mg 0.5000 0.0000 0.0000
6 Mg 0.8160 0.8160 0.6320
7 Zn 0.7500 0.2500 0.5000
8 Zn 0.9261 0.9261 0.8522
9 Zn 0.0739 0.0739 0.1478
10 Zn 0.2500 0.7500 0.5000